A relaxed CuPdS crystal, computed with PBE.

Geometry as POSCAR:
```
CuPdS
1.0
-4.068 1.461 1.020
0.852 -2.607 -2.536
-0.555 -5.013 4.967
Cu S Pd
2 2 2
Direct
0.656 0.812 0.750
0.344 0.188 0.250
0.260 0.020 0.750
0.740 0.980 0.250
0.000 0.500 0.500
0.000 0.500 0.000
```

Calculated values
Its raw formation energy is -0.0447 eV per atom. As for the total magnetization: 0.00 μB per formula unit.


A relaxed CuPd2S crystal, computed with PBE.

Geometry as POSCAR:
```
CuPd2S
1.0
-2.607 -2.561 1.212
-0.091 -1.571 -3.514
4.876 -7.359 1.055
Pd S Cu
4 2 2
Direct
0.612 0.125 0.250
0.375 0.388 0.750
0.138 0.625 0.250
0.875 0.862 0.750
0.500 0.500 0.000
0.250 0.750 0.500
0.000 0.000 0.000
0.750 0.250 0.500
```

Calculated values
Its raw formation energy is 0.1075 eV per atom. As for the total magnetization: 0.00 μB per formula unit.


A relaxed CuPdS crystal, computed with PBE.

Geometry as POSCAR:
```
CuPdS
1.0
-3.061 -1.690 1.650
1.042 -3.259 -1.405
1.215 1.052 3.332
Cu Pd S
1 1 1
Direct
0.282 0.333 0.667
0.690 0.667 0.333
0.028 0.000 0.000
```

Calculated values
Its raw formation energy is 0.0146 eV per atom. As for the total magnetization: 0.00 μB per formula unit.


A relaxed CuPdS crystal, computed with PBE.

Geometry as POSCAR:
```
CuPdS
1.0
4.197 0.015 -0.498
-0.005 4.039 -0.023
-0.381 2.008 3.414
Cu Pd S
1 1 1
Direct
0.899 0.412 0.042
0.323 0.680 0.503
0.427 0.325 0.209
```

Calculated values
Its raw formation energy is -0.0256 eV per atom. As for the total magnetization: 0.00 μB per formula unit.


A relaxed CuPd3S crystal, computed with PBE.

Geometry as POSCAR:
```
CuPd3S
1.0
-3.268 -1.360 2.716
-0.278 -3.839 -2.256
3.025 -1.821 2.727
S Pd Cu
1 3 1
Direct
0.000 0.000 0.000
0.000 0.000 0.500
0.000 0.500 0.000
0.500 0.000 0.000
0.500 0.500 0.500
```

Calculated values
Its raw formation energy is 0.1013 eV per atom. As for the total magnetization: 0.00 μB per formula unit.


A relaxed CuPd2S4 crystal, computed with PBE.

Geometry as POSCAR:
```
CuPd2S4
1.0
7.091 0.000 0.000
-3.545 5.801 -2.013
0.000 -0.057 12.294
S Pd Cu
16 8 4
Direct
0.129 0.758 0.887
0.136 0.773 0.379
0.137 0.242 0.379
0.637 0.773 0.879
0.629 0.758 0.387
0.394 0.757 0.621
0.864 0.227 0.621
0.863 0.758 0.621
0.363 0.757 0.121
0.363 0.227 0.121
0.637 0.243 0.879
0.105 0.242 0.879
0.371 0.242 0.613
0.606 0.243 0.379
0.871 0.242 0.113
0.895 0.758 0.121
0.000 0.500 0.000
0.500 0.000 0.500
0.500 0.000 0.000
0.000 0.000 0.500
0.500 0.500 0.500
0.750 0.000 0.750
0.000 0.000 0.000
0.250 0.000 0.250
0.438 0.375 0.812
0.562 0.625 0.188
0.938 0.375 0.312
0.062 0.625 0.688
```

Calculated values
Its raw formation energy is -0.2239 eV per atom. As for the total magnetization: 0.00 μB per formula unit.


A relaxed Cu3Pd3S8 crystal, computed with PBE.

Geometry as POSCAR:
```
Cu3Pd3S8
1.0
-6.946 0.064 0.919
-2.576 0.177 6.514
-3.083 5.861 2.289
Cu S Pd
3 8 3
Direct
0.619 0.619 0.619
0.000 0.000 0.000
0.381 0.381 0.381
0.225 0.759 0.759
0.757 0.757 0.757
0.241 0.775 0.241
0.243 0.243 0.243
0.759 0.225 0.759
0.775 0.241 0.241
0.759 0.759 0.225
0.241 0.241 0.775
0.500 0.000 0.000
0.000 0.000 0.500
0.000 0.500 0.000
```

Calculated values
Its raw formation energy is -0.1845 eV per atom. As for the total magnetization: 0.00 μB per formula unit.


A relaxed CuPdS5 crystal, computed with PBE.

Geometry as POSCAR:
```
CuPdS5
1.0
5.103 -1.349 0.050
0.563 5.248 0.050
-5.025 -3.459 10.687
S Cu Pd
10 2 2
Direct
0.773 0.227 0.250
0.175 0.438 0.034
0.355 0.121 0.218
0.121 0.355 0.718
0.825 0.562 0.966
0.438 0.175 0.534
0.879 0.645 0.282
0.227 0.773 0.750
0.645 0.879 0.782
0.562 0.825 0.466
0.000 0.000 0.000
0.000 0.000 0.500
0.338 0.662 0.250
0.662 0.338 0.750
```

Calculated values
Its raw formation energy is -0.0175 eV per atom. As for the total magnetization: 0.00 μB per formula unit.


A relaxed CuPd2S crystal, computed with PBE.

Geometry as POSCAR:
```
CuPd2S
1.0
-2.209 -2.033 -0.135
-1.168 -1.120 2.532
-6.291 4.555 0.896
Pd S Cu
2 1 1
Direct
0.079 0.079 0.763
0.254 0.254 0.238
0.667 0.667 0.998
0.500 0.500 0.501
```

Calculated values
Its raw formation energy is 0.0297 eV per atom. As for the total magnetization: 0.00 μB per formula unit.


A relaxed Cu3Pd13S7 crystal, computed with PBE.

Geometry as POSCAR:
```
Cu3Pd13S7
1.0
7.810 -0.005 -0.009
-2.628 7.354 -0.009
-2.628 -3.728 6.339
Pd S Cu
13 7 3
Direct
0.758 0.422 0.001
0.584 0.339 0.584
0.662 0.241 0.241
0.241 0.241 0.662
0.001 0.758 0.422
0.422 0.001 0.758
0.584 0.584 0.339
0.217 0.217 0.217
0.241 0.662 0.241
0.422 0.758 0.001
0.001 0.422 0.758
0.758 0.001 0.422
0.339 0.584 0.584
0.002 0.501 0.501
0.995 0.995 0.303
0.501 0.501 0.002
0.995 0.303 0.995
0.699 0.699 0.699
0.303 0.995 0.995
0.501 0.002 0.501
0.002 0.772 0.002
0.002 0.002 0.772
0.772 0.002 0.002
```

Calculated values
Its raw formation energy is -0.2470 eV per atom. As for the total magnetization: 0.00 μB per formula unit.


A relaxed CuPdS crystal, computed with PBE.

Geometry as POSCAR:
```
CuPdS
1.0
-2.046 1.215 1.466
-0.284 -2.323 1.529
5.380 2.726 2.586
S Pd Cu
1 1 1
Direct
0.760 0.760 0.520
0.944 0.944 0.888
0.146 0.146 0.292
```

Calculated values
Its raw formation energy is 0.3419 eV per atom. As for the total magnetization: 0.00 μB per formula unit.


A relaxed CuPdS crystal, computed with PBE.

Geometry as POSCAR:
```
CuPdS
1.0
-3.493 1.625 -1.584
-0.486 -4.729 -3.781
-3.994 -3.644 5.070
S Cu Pd
4 4 4
Direct
0.419 0.806 0.410
0.419 0.306 0.090
0.919 0.194 0.590
0.919 0.694 0.910
0.190 0.869 0.684
0.690 0.631 0.184
0.690 0.131 0.316
0.190 0.369 0.816
0.177 0.943 0.124
0.677 0.057 0.876
0.677 0.557 0.624
0.177 0.443 0.376
```

Calculated values
Its raw formation energy is -0.0748 eV per atom. As for the total magnetization: 0.00 μB per formula unit.


A relaxed CuPd3S crystal, computed with PBE.

Geometry as POSCAR:
```
CuPd3S
1.0
4.412 0.000 0.000
0.000 5.421 -0.058
0.001 -0.063 6.436
Pd S Cu
6 2 2
Direct
0.406 0.858 0.974
0.906 0.494 0.928
0.912 0.004 0.732
0.412 0.348 0.169
0.919 0.387 0.464
0.419 0.966 0.438
0.220 0.662 0.661
0.720 0.691 0.240
0.922 0.063 0.150
0.422 0.289 0.751
```

Calculated values
Its raw formation energy is -0.1163 eV per atom. As for the total magnetization: 0.00 μB per formula unit.